Model P:
Density functional theory data (PBE) for a relaxed structure of Sm6Er.

Properties
volume = 37.7 A^3/atom
space group = Im-3m (229)
crystal system = cubic

Cell lengths 8.0788, 8.0788, 8.0788 Å; angles 90.00, 90.00, 90.00 degrees
Closest atoms and distances in Å follow each position.
Fractional coordinates of all 14 atoms:
Sm  0.0000  0.2500  0.5000  4 Sm 2.86
Sm  0.0000  0.5000  0.2500  4 Sm 2.86
Sm  0.0000  0.5000  0.7500  4 Sm 2.86
Sm  0.0000  0.7500  0.5000  4 Sm 2.86
Sm  0.2500  0.0000  0.5000  4 Sm 2.86
Sm  0.2500  0.5000  0.0000  4 Sm 2.86
Sm  0.5000  0.0000  0.2500  4 Sm 2.86
Sm  0.5000  0.0000  0.7500  4 Sm 2.86
Sm  0.5000  0.2500  0.0000  4 Sm 2.86
Sm  0.5000  0.7500  0.0000  4 Sm 2.86
Sm  0.7500  0.0000  0.5000  4 Sm 2.86
Sm  0.7500  0.5000  0.0000  4 Sm 2.86
Er  0.0000  0.0000  0.0000  24 Sm 4.52
Er  0.5000  0.5000  0.5000  24 Sm 4.52

Model Q:
Density functional theory data (PBE) for a relaxed structure of Sm6Er.

Properties
volume = 34.4 A^3/atom
space group = P4/nbm (125)
crystal system = tetragonal

Cell lengths 6.5482, 6.5482, 11.2157 Å; angles 90.00, 90.00, 90.00 degrees
Closest atoms and distances in Å follow each position.
Fractional coordinates of all 14 atoms:
Sm  0.0820  0.5820  0.1393  6 Sm 3.11-3.47
Sm  0.0820  0.9180  0.8607  6 Sm 3.11-3.47
Sm  0.2500  0.2500  0.3629  1 Sm 3.07
Sm  0.2500  0.2500  0.6371  1 Sm 3.07
Sm  0.4180  0.5820  0.8607  6 Sm 3.11-3.47
Sm  0.4180  0.9180  0.1393  6 Sm 3.11-3.47
Sm  0.5820  0.0820  0.8607  6 Sm 3.11-3.47
Sm  0.5820  0.4180  0.1393  6 Sm 3.11-3.47
Sm  0.7500  0.7500  0.3629  1 Sm 3.07
Sm  0.7500  0.7500  0.6371  1 Sm 3.07
Sm  0.9180  0.0820  0.1393  6 Sm 3.11-3.47
Sm  0.9180  0.4180  0.8607  6 Sm 3.11-3.47
Er  0.2500  0.7500  0.5000  8 Sm 3.62
Er  0.7500  0.2500  0.5000  8 Sm 3.62

The data favor model Q; the next most stable structure lies 1096 meV/atom above it.

Model P:
Density functional theory data (PBE) for a relaxed structure of SmEr6.

Properties
volume = 37.3 A^3/atom
space group = Im-3m (229)
crystal system = cubic

Cell lengths 8.0562, 8.0562, 8.0562 Å; angles 90.00, 90.00, 90.00 degrees
Closest atoms and distances in Å follow each position.
Fractional coordinates of all 14 atoms:
Sm  0.0000  0.0000  0.0000  24 Er 4.50
Sm  0.5000  0.5000  0.5000  24 Er 4.50
Er  0.0000  0.2500  0.5000  4 Er 2.85
Er  0.0000  0.5000  0.2500  4 Er 2.85
Er  0.0000  0.5000  0.7500  4 Er 2.85
Er  0.0000  0.7500  0.5000  4 Er 2.85
Er  0.2500  0.0000  0.5000  4 Er 2.85
Er  0.2500  0.5000  0.0000  4 Er 2.85
Er  0.5000  0.0000  0.2500  4 Er 2.85
Er  0.5000  0.0000  0.7500  4 Er 2.85
Er  0.5000  0.2500  0.0000  4 Er 2.85
Er  0.5000  0.7500  0.0000  4 Er 2.85
Er  0.7500  0.0000  0.5000  4 Er 2.85
Er  0.7500  0.5000  0.0000  4 Er 2.85

Model Q:
Density functional theory data (PBE) for a relaxed structure of SmEr6.

Properties
volume = 32.5 A^3/atom
space group = P4/nbm (125)
crystal system = tetragonal

Cell lengths 6.4668, 6.4668, 10.8962 Å; angles 90.00, 90.00, 90.00 degrees
Closest atoms and distances in Å follow each position.
Fractional coordinates of all 14 atoms:
Sm  0.2500  0.7500  0.0000  8 Er 3.58
Sm  0.7500  0.2500  0.0000  8 Er 3.58
Er  0.0815  0.5815  0.3631  8 Er 3.08-3.41
Er  0.0815  0.9185  0.6369  8 Er 3.08-3.41
Er  0.2500  0.2500  0.1417  5 Er 3.09-3.41
Er  0.2500  0.2500  0.8583  5 Er 3.09-3.41
Er  0.4185  0.5815  0.6369  8 Er 3.08-3.41
Er  0.4185  0.9185  0.3631  8 Er 3.08-3.41
Er  0.5815  0.0815  0.6369  8 Er 3.08-3.41
Er  0.5815  0.4185  0.3631  8 Er 3.08-3.41
Er  0.7500  0.7500  0.1417  5 Er 3.09-3.41
Er  0.7500  0.7500  0.8583  5 Er 3.09-3.41
Er  0.9185  0.0815  0.3631  8 Er 3.08-3.41
Er  0.9185  0.4185  0.6369  8 Er 3.08-3.41

The data favor model Q; the next most stable structure lies 1228 meV/atom above it.

Model P:
Density functional theory data (PBE) for a relaxed structure of Sm4Er.

Properties
volume = 33.1 A^3/atom
space group = I4/mmm (139)
crystal system = tetragonal

Cell lengths 3.6028, 3.6028, 25.4992 Å; angles 90.00, 90.00, 90.00 degrees
Closest atoms and distances in Å follow each position.
Fractional coordinates of all 10 atoms:
Sm  0.0000  0.0000  0.0982  4 Er 3.57, 8 Sm 3.60-3.62
Sm  0.0000  0.0000  0.3009  12 Sm 3.60-3.64
Sm  0.0000  0.0000  0.6991  12 Sm 3.60-3.64
Sm  0.0000  0.0000  0.9018  4 Er 3.57, 8 Sm 3.60-3.62
Sm  0.5000  0.5000  0.1991  12 Sm 3.60-3.64
Sm  0.5000  0.5000  0.4018  4 Er 3.57, 8 Sm 3.60-3.62
Sm  0.5000  0.5000  0.5982  4 Er 3.57, 8 Sm 3.60-3.62
Sm  0.5000  0.5000  0.8009  12 Sm 3.60-3.64
Er  0.0000  0.0000  0.5000  8 Sm 3.57, 4 Er 3.60
Er  0.5000  0.5000  0.0000  8 Sm 3.57, 4 Er 3.60

Model Q:
Density functional theory data (PBE) for a relaxed structure of Sm4Er.

Properties
volume = 38.2 A^3/atom
space group = Pm-3m (221)
crystal system = cubic

Cell lengths 5.7582, 5.7582, 5.7582 Å; angles 90.00, 90.00, 90.00 degrees
Closest atoms and distances in Å follow each position.
Fractional coordinates of all 5 atoms:
Sm  0.0000  0.0000  0.0000  12 Sm 4.07
Sm  0.0000  0.5000  0.5000  2 Er 2.88
Sm  0.5000  0.0000  0.5000  2 Er 2.88
Sm  0.5000  0.5000  0.0000  2 Er 2.88
Er  0.5000  0.5000  0.5000  6 Sm 2.88

The data favor model P; the next most stable structure lies 646 meV/atom above it.

Model P:
Density functional theory data (PBE) for a relaxed structure of Sm5Er7.

Properties
volume = 31.8 A^3/atom
space group = C2/m (12)
crystal system = monoclinic

Cell lengths 9.4301, 9.4301, 13.0736 Å; angles 117.64, 117.64, 21.84 degrees
Closest atoms and distances in Å follow each position.
Fractional coordinates of all 12 atoms:
Sm  0.0000  0.0000  0.0000  10 Er 3.53-3.57, 2 Sm 3.57
Sm  0.1656  0.1656  0.4984  6 Er 3.52-3.58, 6 Sm 3.56-3.58
Sm  0.3052  0.3052  0.2491  8 Er 3.51-3.58, 4 Sm 3.56-3.57
Sm  0.6948  0.6948  0.7509  8 Er 3.51-3.58, 4 Sm 3.56-3.57
Sm  0.8344  0.8344  0.5016  6 Er 3.52-3.58, 6 Sm 3.56-3.58
Er  0.0277  0.0277  0.7504  8 Er 3.52-3.57, 4 Sm 3.52-3.57
Er  0.3340  0.3340  0.0025  5 Sm 3.51-3.57, 7 Er 3.52-3.57
Er  0.3624  0.3624  0.7513  7 Sm 3.53-3.58, 5 Er 3.55-3.57
Er  0.5000  0.5000  0.5000  6 Er 3.55-3.57, 6 Sm 3.55-3.56
Er  0.6376  0.6376  0.2487  7 Sm 3.53-3.58, 5 Er 3.55-3.57
Er  0.6660  0.6660  0.9975  5 Sm 3.51-3.57, 7 Er 3.52-3.57
Er  0.9723  0.9723  0.2496  8 Er 3.52-3.57, 4 Sm 3.52-3.57

Model Q:
Density functional theory data (PBE) for a relaxed structure of Sm5Er7.

Properties
volume = 32.5 A^3/atom
space group = C2/m (12)
crystal system = monoclinic

Cell lengths 5.5891, 5.5891, 14.6558 Å; angles 101.35, 101.35, 60.93 degrees
Closest atoms and distances in Å follow each position.
Fractional coordinates of all 12 atoms:
Sm  0.0000  0.0000  0.0000  2 Er 3.06
Sm  0.1417  0.1417  0.4363  5 Er 3.17-3.37
Sm  0.3890  0.3890  0.1995  3 Er 3.25
Sm  0.6110  0.6110  0.8005  3 Er 3.25
Sm  0.8583  0.8583  0.5637  5 Er 3.17-3.37
Er  0.0579  0.0579  0.2140  5 Sm 3.06-3.25
Er  0.2332  0.2332  0.6724  7 Sm 3.37-3.74, 4 Er 3.52-3.65
Er  0.3115  0.3115  0.9188  6 Sm 3.43-3.69, 4 Er 3.52-3.81
Er  0.5000  0.5000  0.5000  6 Sm 3.36-3.37
Er  0.6885  0.6885  0.0812  6 Sm 3.43-3.69, 4 Er 3.52-3.81
Er  0.7668  0.7668  0.3276  7 Sm 3.37-3.74, 4 Er 3.52-3.65
Er  0.9421  0.9421  0.7860  5 Sm 3.06-3.25

The data favor model P; the next most stable structure lies 184 meV/atom above it.